*w*
Entry from Alexandria: Dy8Ho6In after structural relaxation (PBE).

a = 9.2846 Å, b = 9.2846 Å, c = 6.3220 Å
α = 90.00°, β = 90.00°, γ = 120.00°
Closest atoms and distances in Å follow each position.
Space group P-3 (No. 147)
Unique sites:
Dy 0.0395 0.7716 0.3152 (multiplicity 6)  1 In 3.06, 3 Dy 3.30-3.32, 1 Ho 3.32
Dy 0.3333 0.6667 0.3210 (multiplicity 2)  3 Dy 3.32, 3 Ho 3.66
Ho 0.0938 0.6425 0.8219 (multiplicity 6)  1 Ho 3.24, 5 Dy 3.32-3.59
In 0.0000 0.0000 0.0000 (multiplicity 1)  6 Dy 3.06

Computed properties:
crystal system = trigonal
Fermi-level density of states = 17.7 states/eV/cell
spin magnetization = 0.000 μB per atom


*x*
Entry from Alexandria: Dy8Ho6In after structural relaxation (PBE).

a = 8.9363 Å, b = 8.9363 Å, c = 20.1303 Å
α = 90.00°, β = 90.00°, γ = 120.00°
Closest atoms and distances in Å follow each position.
Space group R-3 (No. 148, hexagonal axes)
Unique sites:
Dy 0.0000 0.0000 0.0760 (multiplicity 6)  4 Dy 3.06-3.39, 3 Ho 3.29
Dy 0.0827 0.5245 0.3090 (multiplicity 18)  3 Ho 3.37-3.68, 5 Dy 3.37-3.39, 1 In 3.46
Ho 0.0630 0.8092 0.2043 (multiplicity 18)  4 Dy 3.29-3.68, 1 In 3.33, 4 Ho 3.54-3.58
In 0.0000 0.0000 0.5000 (multiplicity 3)  6 Ho 3.33, 6 Dy 3.46

Computed properties:
crystal system = trigonal
Fermi-level density of states = 59.2 states/eV/cell
spin magnetization = 0.000 μB per atom


Energy relative to the most stable one, in meV per atom: *w* 63; *x* 0


*w*
Entry from Alexandria: Cr2HgBr after structural relaxation (PBE).

a = 6.9499 Å, b = 7.0161 Å, c = 3.4518 Å
α = 90.00°, β = 90.00°, γ = 90.00°
Closest atoms and distances in Å follow each position.
Space group Cmmm (No. 65)
Unique sites:
Cr 0.2500 0.2500 0.0000 (multiplicity 4)  4 Hg 3.01, 4 Br 3.01
Hg 0.0000 0.0000 0.5000 (multiplicity 2)  8 Cr 3.01
Br 0.0000 0.5000 0.5000 (multiplicity 2)  8 Cr 3.01

Computed properties:
crystal system = orthorhombic
Fermi-level density of states = 6.1 states/eV/cell
spin magnetization = 2.320 μB per atom


*x*
Entry from Alexandria: Cr2HgBr after structural relaxation (PBE).

a = 7.1259 Å, b = 7.1259 Å, c = 7.1259 Å
α = 90.00°, β = 90.00°, γ = 90.00°
Closest atoms and distances in Å follow each position.
Space group F-43m (No. 216)
Unique sites:
Cr 0.0000 0.0000 0.0000 (multiplicity 4)  4 Hg 3.09, 4 Cr 3.09
Cr 0.2500 0.2500 0.2500 (multiplicity 4)  4 Cr 3.09, 4 Br 3.09
Hg 0.2500 0.2500 0.7500 (multiplicity 4)  4 Cr 3.09, 4 Br 3.09
Br 0.0000 0.0000 0.5000 (multiplicity 4)  4 Hg 3.09, 4 Cr 3.09

Computed properties:
crystal system = cubic
Fermi-level density of states = 5.6 states/eV/cell
spin magnetization = 2.286 μB per atom


Energy relative to the most stable one, in meV per atom: *w* 0; *x* 297


*w*
Entry from Alexandria: SrLi2W after structural relaxation (PBE).

a = 6.3392 Å, b = 10.0811 Å, c = 2.7766 Å
α = 90.00°, β = 111.65°, γ = 90.00°
Closest atoms and distances in Å follow each position.
Space group C2/m (No. 12)
Unique sites:
Sr 0.0000 0.0000 0.0000 (multiplicity 2)  2 Sr 2.78, 4 Li 3.03
Li 0.2500 0.2500 0.5000 (multiplicity 4)  2 Li 2.78, 2 W 3.03, 2 Sr 3.03
W 0.0000 0.5000 0.0000 (multiplicity 2)  2 W 2.78, 4 Li 3.03

Computed properties:
crystal system = monoclinic
Fermi-level density of states = 6.1 states/eV/cell
spin magnetization = 0.000 μB per atom


*x*
Entry from Alexandria: SrLi2W after structural relaxation (PBE).

a = 2.8795 Å, b = 5.4705 Å, c = 5.6535 Å
α = 90.00°, β = 90.00°, γ = 90.00°
Closest atoms and distances in Å follow each position.
Space group Pmmm (No. 47)
Unique sites:
Sr 0.0000 0.0000 0.0000 (multiplicity 1)  2 Sr 2.88, 4 W 3.09, 4 Li 3.17
Li 0.0000 0.5000 0.5000 (multiplicity 1)  6 Li 2.88-3.09, 4 W 3.17
Li 0.5000 0.0000 0.5000 (multiplicity 1)  6 Li 2.88-3.09, 4 Sr 3.17
W 0.5000 0.5000 0.0000 (multiplicity 1)  2 W 2.88, 4 Sr 3.09, 4 Li 3.17

Computed properties:
crystal system = orthorhombic
Fermi-level density of states = 3.2 states/eV/cell
spin magnetization = 0.000 μB per atom


Energy relative to the most stable one, in meV per atom: *w* 0; *x* 123